Entry 1:
8
Lattice="3.329 0.000 0.000 -1.665 2.883 0.000 0.000 0.000 14.889" Properties=species:S:1:pos:R:3 comment="HfZrHgC (PBE, optimized geometry)" relative_energy_kj_per_mol_atoms=0.0 pbc="T T T"
Hf 0.000 0.000 2.452
Hf 0.000 0.000 12.437
Zr 1.665 0.961 4.954
Zr 1.665 0.961 9.935
Hg 0.000 0.000 7.445
Hg 1.665 0.961 0.000
C 0.000 1.922 3.660
C 0.000 1.922 11.229

=====

Entry 2:
8
Lattice="3.331 0.000 0.000 -1.665 2.885 0.000 0.000 0.000 14.881" Properties=species:S:1:pos:R:3 comment="HfZrHgC (PBE, optimized geometry)" relative_energy_kj_per_mol_atoms=0.0 pbc="T T T"
Hf 0.000 1.923 0.000
Hf 1.665 0.962 7.440
Zr 0.000 1.923 9.938
Zr 1.665 0.962 2.497
Hg 0.000 1.923 4.987
Hg 1.665 0.962 12.428
C 0.000 0.000 1.203
C 0.000 0.000 8.643

=====

Entry 3:
5
Lattice="4.643 0.000 0.000 0.000 4.643 0.000 0.000 0.000 4.643" Properties=species:S:1:pos:R:3 comment="HoHf3C (PBE, optimized geometry)" e_tot_ev_per_atom=-8.878 pbc="T T T"
Ho 0.000 0.000 0.000
Hf 0.000 2.322 2.322
Hf 2.322 0.000 2.322
Hf 2.322 2.322 0.000
C 2.322 2.322 2.322

=====

Calculated M_tot in order - 0.01; 0.00; 0.02 μB/f.u.